Sm2C2Se: relaxed, GGA-PBE.

Output
**Energy relative to the elements, uncorrected**: -0.88 eV per atom
**Fermi-level density of states**: 1.45 states/eV/f.u.
**Final energy**: -7.151 eV per atom

a b c (Å): 4.1301 7.0356 7.2631
angles (deg): 102.16 106.52 90.00
With the nearest neighbours (Å) after each atom.
Positions (direct):
C 0.6426 0.9667 0.5457  1 C 1.32
C 0.9031 0.4667 0.5457  1 C 1.32
C 0.3574 0.0333 0.4543  1 C 1.32
C 0.0969 0.5333 0.4543  1 C 1.32
Sm 0.5461 0.3592 0.7152  2 C 2.38-2.60
Sm 0.8309 0.1408 0.2848  2 C 2.38-2.60
Sm 0.4539 0.6408 0.2848  2 C 2.38-2.60
Sm 0.1691 0.8592 0.7152  2 C 2.38-2.60
Se 0.2061 0.2500 0.0000  6 Sm 3.03-3.12
Se 0.7939 0.7500 0.0000  6 Sm 3.03-3.12